[1]
Entry from Alexandria via LeMat-Bulk: NiBiAsSe2 after structural relaxation (PBE).

## Properties
formation energy without anion corrections	0.157	eV/atom
energy above the most stable polymorph in this dataset	0	meV/atom

Cell: 4.9784 4.9784 4.4142 Å, 90.00 90.00 90.00°
Atoms (fractional coordinates):
1 Ni 0.0000 0.0000 0.0000
2 Bi 0.5000 0.5000 0.5000
3 As 0.0000 0.0000 0.5000
4 Se 0.0000 0.5000 0.0000
5 Se 0.5000 0.0000 0.0000

=====

[2]
Entry from Alexandria via LeMat-Bulk: HgPt2W after structural relaxation (PBE).

## Properties
DFT formation energy	117	meV per atom

Cell: 9.4858 2.8345 5.0637 Å, 90.00 98.62 90.00°
Atoms (fractional coordinates):
1 Hg 0.0000 0.0000 0.0000
2 Hg 0.5000 0.5000 0.0000
3 Pt 0.0060 0.5000 0.5115
4 Pt 0.2545 0.5000 0.2222
5 Pt 0.5060 0.0000 0.5115
6 Pt 0.7545 0.0000 0.2222
7 W 0.2461 0.0000 0.6938
8 W 0.7461 0.5000 0.6938

=====

[3]
Entry from Alexandria via LeMat-Bulk: MgAlW2 after structural relaxation (PBE).

## Properties
DFT formation energy	201	meV per atom
energy above the most stable polymorph in this dataset	49	meV/atom

Cell: 3.3647 4.3057 8.9820 Å, 90.00 90.00 90.00°
Atoms (fractional coordinates):
1 Mg 0.0000 0.0000 0.0000
2 Mg 0.5000 0.5000 0.0000
3 Al 0.0000 0.0000 0.5000
4 Al 0.5000 0.5000 0.5000
5 W 0.0000 0.5000 0.2635
6 W 0.0000 0.5000 0.7365
7 W 0.5000 0.0000 0.2635
8 W 0.5000 0.0000 0.7365

=====

Total DFT energy (no corrections) values, unit eV per atom, following the record order: -4.099, -6.217, -7.609.